# B3C PBE relaxed
data_B3C
_chemical_formula_sum 'B9 C3'
_cell_length_a 2.7535
_cell_length_b 2.7535
_cell_length_c 13.4297
_cell_angle_alpha 90.00
_cell_angle_beta 90.00
_cell_angle_gamma 120.00
_symmetry_space_group_name_H-M 'R 3 m'
_symmetry_Int_Tables_number 160
_symmetry_space_group_name_Hall 'R 3 -2"'
loop_
_atom_site_label
_atom_site_type_symbol
_atom_site_fract_x
_atom_site_fract_y
_atom_site_fract_z
B1 B 0.0000 0.0000 0.0000
B2 B 0.0000 0.0000 0.1372
B3 B 0.0000 0.0000 0.5316
C1 C 0.0000 0.0000 0.6506
# Crystal system: trigonal
# VASP energy: -26.82 eV/f.u.
# Total magnetization: 0.0 μB per cell
# DFT formation energy: 0.610 eV per atom